No. 1
A plane-wave DFT calculation with GGA-PBEsol was carried out for a relaxed structure of CaZn3Ni2.

Output
- calculated volume (Å³ per cell) = 272.9
- SG = P6/mmm, No. 191

Cell lengths 3.9969, 8.8787, 8.8787 Å; angles 120.00, 90.00, 90.00 degrees
With the nearest neighbours (Å) after each atom.
Positions (direct):
Zn  0.0000  0.0000  0.7071  4 Ni 2.45, 4 Zn 2.60-2.72
Zn  0.0000  0.2929  0.0000  4 Ni 2.45, 4 Zn 2.60-2.72
Zn  0.5000  0.0000  0.5000  4 Ni 2.45, 4 Zn 2.72
Zn  0.5000  0.5000  0.0000  4 Ni 2.45, 4 Zn 2.72
Zn  0.0000  0.0000  0.2929  4 Ni 2.45, 4 Zn 2.60-2.72
Zn  0.5000  0.5000  0.5000  4 Ni 2.45, 4 Zn 2.72
Zn  0.0000  0.2929  0.2929  4 Ni 2.45, 4 Zn 2.60-2.72
Zn  0.0000  0.7071  0.0000  4 Ni 2.45, 4 Zn 2.60-2.72
Zn  0.0000  0.7071  0.7071  4 Ni 2.45, 4 Zn 2.60-2.72
Ni  0.5000  0.1818  0.3636  6 Zn 2.45
Ni  0.5000  0.8182  0.6364  6 Zn 2.45
Ni  0.5000  0.1818  0.8182  6 Zn 2.45
Ni  0.5000  0.6364  0.8182  6 Zn 2.45
Ni  0.5000  0.8182  0.1818  6 Zn 2.45
Ni  0.5000  0.3636  0.1818  6 Zn 2.45
Ca  0.0000  0.6667  0.3333  6 Ni 3.07, 12 Zn 3.15-3.25
Ca  0.5000  0.0000  0.0000  6 Ni 2.80
Ca  0.0000  0.3333  0.6667  6 Ni 3.07, 12 Zn 3.15-3.25

No. 2
A plane-wave DFT calculation with GGA-PBEsol was carried out for a relaxed structure of CaZnNi.

Output
- calculated volume (Å³ per cell) = 56.6
- SG = P-6m2, No. 187

Cell lengths 3.8107, 4.1406, 4.1406 Å; angles 120.00, 90.00, 90.00 degrees
With the nearest neighbours (Å) after each atom.
Positions (direct):
Ca  0.5000  0.0000  0.0000  6 Ni 3.06, 6 Zn 3.06
Zn  0.0000  0.6667  0.3333  3 Ni 2.39
Ni  0.0000  0.3333  0.6667  3 Zn 2.39

No. 3
A plane-wave DFT calculation with GGA-PBEsol was carried out for a relaxed structure of CaZnNi.

Output
- calculated volume (Å³ per cell) = 66.0
- SG = F-43m, No. 216

Cell lengths 4.5365, 4.5365, 4.5365 Å; angles 60.00, 60.00, 60.00 degrees
With the nearest neighbours (Å) after each atom.
Positions (direct):
Zn  0.5000  0.5000  0.5000  4 Ca 2.78
Ca  0.7500  0.7500  0.7500  4 Zn 2.78, 4 Ni 2.78
Ni  0.0000  0.0000  0.0000  4 Ca 2.78

No. 4
A plane-wave DFT calculation with GGA-PBEsol was carried out for a relaxed structure of CaZnNi2.

Output
- calculated volume (Å³ per cell) = 58.2
- SG = I4/mmm, No. 139

Cell lengths 4.1393, 4.4839, 4.1340 Å; angles 117.45, 90.00, 117.49 degrees
With the nearest neighbours (Å) after each atom.
Positions (direct):
Ni  0.7498  0.4995  0.7498  4 Zn 2.67-2.68, 4 Ca 2.68, 4 Ni 2.93
Ni  0.2502  0.5005  0.2502  4 Zn 2.67-2.68, 4 Ca 2.68, 4 Ni 2.93
Ca  0.0000  0.0000  0.5000  8 Ni 2.68, 4 Zn 2.93
Zn  0.5000  0.0000  0.0000  8 Ni 2.67-2.68, 4 Ca 2.93

No. 5
A plane-wave DFT calculation with GGA-PBEsol was carried out for a relaxed structure of CaZnNi2.

Output
- calculated volume (Å³ per cell) = 60.2
- SG = Pmm2, No. 25

Cell lengths 2.7798, 3.4341, 6.3054 Å; angles 90.00, 90.00, 90.00 degrees
With the nearest neighbours (Å) after each atom.
Positions (direct):
Ca  0.5000  0.5000  0.7714  2 Ca 2.78, 5 Ni 2.84-2.97, 4 Zn 3.08
Ni  0.0000  0.0000  0.0551  1 Zn 2.37, 4 Ni 2.50
Ni  0.5000  0.5000  0.2424  6 Ni 2.50-2.78, 4 Zn 2.51
Zn  0.0000  0.0000  0.4312  5 Ni 2.37-2.51

No. 6
A plane-wave DFT calculation with GGA-PBEsol was carried out for a relaxed structure of CaZnNi2.

Output
- calculated volume (Å³ per cell) = 59.6
- SG = P4/mmm, No. 123

Cell lengths 3.0770, 3.0770, 6.2910 Å; angles 90.00, 90.00, 90.00 degrees
With the nearest neighbours (Å) after each atom.
Positions (direct):
Zn  0.5000  0.5000  0.0000  8 Ni 2.49
Ni  0.0000  0.0000  0.8065  1 Ni 2.44, 4 Zn 2.49
Ni  0.0000  0.0000  0.1935  1 Ni 2.44, 4 Zn 2.49
Ca  0.5000  0.5000  0.5000  8 Ni 2.91, 4 Ca 3.08, 2 Zn 3.15

no.,VASP energy (eV per atom)
1,-3.5070
2,-3.4535
3,-2.6758
4,-3.9812
5,-3.9669
6,-4.0330